Computed, not measured: an optimized crystal structure of NaSc2Pt at the GGA-PBE level of DFT.

Structure (POSCAR):
```
NaSc2Pt
1.0
1.544 0.892 11.222
-1.544 0.892 11.222
0.000 -1.783 11.222
Na Sc Pt
1 2 1
direct
0.000 0.000 0.000
0.425 0.425 0.425
0.575 0.575 0.575
0.500 0.500 0.500
```

Results
Total magnetic moment = 0.0 μB/f.u.
Final energy = -0.1780 hartree per atom